No. 1
Material: PrDy2Mn
Method: DFT, PBE-GGA
State: relaxed

Properties
The calculated formation energy is 206 kJ/mol of formula units.

```
PrDy2Mn
1.0
1.716 0.990 11.459
-1.716 0.990 11.459
0.000 -1.981 11.459
Pr Dy Mn
1 2 1
Direct
0.000 0.000 0.000
0.420 0.420 0.420
0.580 0.580 0.580
0.500 0.500 0.500
```

No. 2
Material: PrDy2Mn
Method: DFT, PBE-GGA
State: relaxed

Properties
The calculated formation energy is 47 kJ/mol of formula units.

```
PrDy2Mn
1.0
3.504 0.000 0.000
0.000 3.504 0.000
0.000 0.000 9.111
Pr Dy Mn
1 2 1
Direct
0.000 0.000 0.000
0.500 0.500 0.309
0.500 0.500 0.691
0.000 0.000 0.500
```

No. 3
Material: Pr2DyMn
Method: DFT, PBE-GGA
State: relaxed

Properties
The calculated formation energy is 73 kJ/mol of formula units.

```
Pr2DyMn
1.0
3.648 0.000 0.000
0.000 3.648 0.000
0.000 0.000 8.944
Pr Dy Mn
2 1 1
Direct
0.000 0.000 0.212
0.000 0.000 0.788
0.500 0.500 0.500
0.500 0.500 0.000
```

No. 4
Material: Pr2DyMnS5
Method: DFT, PBE-GGA
State: relaxed

Properties
Its formation energy (no corrections) is -1.73 eV/atom.

```
Pr2DyMnS5
1.0
1.974 -8.326 0.000
1.974 8.326 0.000
0.000 0.000 12.056
Pr Dy Mn S
4 2 2 10
Direct
0.118 0.882 0.500
0.123 0.877 0.150
0.877 0.123 0.650
0.882 0.118 0.000
0.185 0.815 0.833
0.815 0.185 0.333
0.450 0.550 0.237
0.550 0.450 0.737
0.019 0.981 0.831
0.301 0.699 0.491
0.312 0.688 0.171
0.347 0.653 0.825
0.494 0.506 0.564
0.506 0.494 0.064
0.653 0.347 0.325
0.688 0.312 0.671
0.699 0.301 0.991
0.981 0.019 0.331
```

No. 5
Material: PrDyMnZn
Method: DFT, PBE-GGA
State: relaxed

Properties
The calculated formation energy is -1 kJ/mol of formula units.

```
PrDyMnZn
1.0
0.000 3.626 3.626
3.626 0.000 3.626
3.626 3.626 0.000
Pr Dy Mn Zn
1 1 1 1
Direct
0.000 0.000 0.000
0.500 0.500 0.500
0.250 0.250 0.250
0.750 0.750 0.750
```

No. 6
Material: DyMn2Pt9
Method: DFT, PBE-GGA
State: relaxed

Properties
The calculated formation energy is -652 kJ/mol of formula units.

```
DyMn2Pt9
1.0
4.004 0.000 0.000
0.000 4.004 0.000
0.000 0.000 11.949
Dy Mn Pt
1 2 9
Direct
0.000 0.000 0.000
0.000 0.000 0.339
0.000 0.000 0.661
0.000 0.500 0.179
0.000 0.500 0.500
0.000 0.500 0.821
0.500 0.000 0.179
0.500 0.000 0.500
0.500 0.000 0.821
0.500 0.500 0.000
0.500 0.500 0.339
0.500 0.500 0.661
```